(w)
{
  "formula": "CdHg3",
  "functional": "GGA-PBEsol",
  "state": "optimized geometry",
  "m_tot_mub_per_cell": 0.00,
  "spacegroup": "No. 71",
  "cell": [[3.903, 0.000, 0.000], [0.000, 5.010, 0.000], [-1.951, -2.505, 4.646]],
  "species": ["Cd", "Hg", "Hg", "Hg"],
  "fractional_positions": [[0.000, 0.500, 0.000], [0.500, 0.000, 0.000], [0.746, 0.746, 0.491], [0.254, 0.254, 0.509]]
}


(x)
{
  "formula": "CdHg3",
  "functional": "GGA-PBEsol",
  "state": "optimized geometry",
  "m_tot_mub_per_cell": 0.00,
  "spacegroup": "No. 225",
  "cell": [[-3.473, -3.626, -0.606], [-1.013, -1.784, -4.623], [1.428, -4.682, -1.273]],
  "species": ["Hg", "Hg", "Hg", "Cd"],
  "fractional_positions": [[0.750, 0.750, 0.750], [0.500, 0.500, 0.500], [0.250, 0.250, 0.250], [0.000, 0.000, 0.000]]
}


(y)
{
  "formula": "CdHg3",
  "functional": "GGA-PBEsol",
  "state": "optimized geometry",
  "m_tot_mub_per_cell": 0.00,
  "spacegroup": "No. 12",
  "cell": [[-3.291, -0.512, 0.582], [0.880, -0.095, -4.929], [1.120, -5.478, 1.516]],
  "species": ["Hg", "Hg", "Hg", "Cd"],
  "fractional_positions": [[0.500, 0.000, 0.500], [0.748, 0.496, 0.244], [0.252, 0.504, 0.756], [0.000, 0.000, 0.000]]
}


(z)
{
  "formula": "CdHg3",
  "functional": "GGA-PBEsol",
  "state": "optimized geometry",
  "m_tot_mub_per_cell": 0.00,
  "spacegroup": "No. 47",
  "cell": [[-1.741, -0.498, 2.473], [-0.594, -4.048, -1.234], [5.542, -1.887, 3.522]],
  "species": ["Cd", "Hg", "Hg", "Hg"],
  "fractional_positions": [[0.000, 0.000, 0.000], [0.500, 0.500, 0.243], [0.000, 0.000, 0.500], [0.500, 0.500, 0.757]]
}


Decreasing stability: (y), (z), (w), (x)


(w)
{
  "formula": "Cd4Hg",
  "functional": "GGA-PBEsol",
  "state": "optimized geometry",
  "m_tot_mub_per_cell": 0.00,
  "spacegroup": "No. 139",
  "cell": [[-2.794, 2.701, -1.159], [-2.823, -2.911, 0.023], [1.386, 1.537, 7.334]],
  "species": ["Cd", "Cd", "Cd", "Hg", "Cd"],
  "fractional_positions": [[0.403, 0.403, 0.806], [0.597, 0.597, 0.194], [0.250, 0.750, 0.500], [0.000, 0.000, 0.000], [0.750, 0.250, 0.500]]
}


(x)
{
  "formula": "Cd4Hg",
  "functional": "GGA-PBEsol",
  "state": "optimized geometry",
  "m_tot_mub_per_cell": 0.00,
  "spacegroup": "No. 87",
  "cell": [[4.382, 0.000, 0.000], [2.191, 4.902, 0.000], [2.191, 0.000, 4.902]],
  "species": ["Cd", "Cd", "Cd", "Hg", "Cd"],
  "fractional_positions": [[0.801, 0.601, 0.798], [0.199, 0.399, 0.202], [0.598, 0.202, 0.601], [0.000, 0.000, 0.000], [0.402, 0.798, 0.399]]
}


(y)
{
  "formula": "Cd4Hg",
  "functional": "GGA-PBEsol",
  "state": "optimized geometry",
  "m_tot_mub_per_cell": 0.00,
  "spacegroup": "No. 217",
  "cell": [[8.461, 0.000, 0.000], [-2.820, 7.977, 0.000], [-2.820, -3.988, 6.908]],
  "species": ["Cd", "Cd", "Cd", "Cd", "Hg", "Cd", "Cd", "Hg", "Cd", "Cd", "Hg", "Cd", "Cd", "Cd", "Cd", "Hg", "Cd", "Cd", "Cd", "Cd"],
  "fractional_positions": [[0.000, 0.344, 0.344], [0.333, 0.000, 0.000], [0.250, 0.500, 0.750], [0.667, 0.667, 0.667], [0.333, 0.333, 0.333], [0.000, 0.656, 0.656], [0.656, 0.656, 0.000], [0.000, 0.667, 0.000], [0.750, 0.250, 0.500], [0.344, 0.000, 0.344], [0.667, 0.000, 0.000], [0.344, 0.344, 0.000], [0.500, 0.250, 0.750], [0.656, 0.000, 0.656], [0.000, 0.333, 0.000], [0.000, 0.000, 0.667], [0.500, 0.750, 0.250], [0.000, 0.000, 0.333], [0.750, 0.500, 0.250], [0.250, 0.750, 0.500]]
}


Decreasing stability: (x), (w), (y)